Here is crystalline Er2AlRh at its relaxed geometry from Alexandria via LeMat-Bulk. Energies are from PBE.

energy relative to the lowest polymorph listed for this composition = 0.000 eV/atom
space-group type = No. 123
crystal system = tetragonal
V = 84.92 Å³ per cell
uncorrected energy = -5.728 eV/atom

abc: 3.507 3.507 6.905
angles: 90.00 90.00 90.00
Fractional positions:
Er 0.000 0.000 0.232
Er 0.000 0.000 0.768
Al 0.500 0.500 0.500
Rh 0.500 0.500 0.000